Record 1
This record from the Alexandria database describes a relaxed Ba3CdAs crystal. The functional is PBE.

abc: 6.372 6.372 6.372
angles: 90.00 90.00 90.00
Space group Pm-3m (No. 221)
Inequivalent atoms, fractional coordinates:
Ba 0.000 0.000 0.500 [3 per cell]
Cd 0.500 0.500 0.500 [1 per cell]
As 0.000 0.000 0.000 [1 per cell]

Computed properties:
- D(E_F): 6.3 states/eV/f.u.
- Formation energy: -475 meV per atom
- Calculated total energy: -2.7415 eV per atom
- Magnetization: 0.00 Bohr magnetons per cell
- Calculated volume: 51.74 Å³ per atom

***

Record 2
This record from the Alexandria database describes a relaxed Zr2CuGe2 crystal. The functional is PBE.

abc: 4.134 14.841 6.106
angles: 90.00 90.00 90.00
Space group Cmc2_1 (No. 36)
Inequivalent atoms, fractional coordinates:
Zr 0.000 0.010 0.000 [4 per cell]
Zr 0.000 0.198 0.309 [4 per cell]
Cu 0.000 0.393 0.161 [4 per cell]
Ge 0.000 0.176 0.785 [4 per cell]
Ge 0.000 0.428 0.761 [4 per cell]

Computed properties:
- D(E_F): 2.2 states/eV/f.u.
- Formation energy: -503 meV per atom
- Calculated total energy: -6.5882 eV per atom
- Magnetization: 0.00 Bohr magnetons per cell
- Calculated volume: 18.73 Å³ per atom

***

Record 3
This record from the Alexandria database describes a relaxed NbAgSe2 crystal. The functional is PBE.

abc: 3.4483 3.4483 25.6970
angles: 90.00 90.00 120.00
Space group R-3m (No. 166, hexagonal axes)
Inequivalent atoms, fractional coordinates:
Nb 0.0000 0.0000 0.0000 [3 per cell]
Ag 0.0000 0.0000 0.5000 [3 per cell]
Se 0.0000 0.0000 0.3996 [6 per cell]

Computed properties:
- Energy relative to the elements, uncorrected: -0.495 eV per atom
- D(E_F): 1.7 states/eV/f.u.
- Calculated total energy: -5.4678 eV per atom
- Magnetization: 0.00 Bohr magnetons per cell
- Calculated volume: 22.05 Å³ per atom

***

Record 4
This record from the Alexandria database describes a relaxed CeScCd17 crystal. The functional is PBE.

abc: 10.0078 10.0078 15.0601
angles: 90.00 90.00 120.00
Space group R3m (No. 160, hexagonal axes)
Inequivalent atoms, fractional coordinates:
Ce 0.0000 0.0000 0.0000 [3 per cell]
Sc 0.0000 0.0000 0.3507 [3 per cell]
Cd 0.0000 0.0000 0.5630 [3 per cell]
Cd 0.0000 0.0000 0.7567 [3 per cell]
Cd 0.0327 0.3623 0.3350 [18 per cell]
Cd 0.1805 0.3611 0.1423 [9 per cell]
Cd 0.1858 0.3717 0.5095 [9 per cell]
Cd 0.2048 0.4096 0.8534 [9 per cell]

Computed properties:
- D(E_F): 13.7 states/eV/f.u.
- Formation energy: -73 meV per atom
- Calculated total energy: -1.5378 eV per atom
- Magnetization: 3.33 Bohr magnetons per cell
- Calculated volume: 22.92 Å³ per atom

***

Record 5
This record from the Alexandria database describes a relaxed TaAl2Ag crystal. The functional is PBE.

abc: 2.865 3.846 6.115
angles: 90.00 90.00 90.00
Space group Pmmm (No. 47)
Inequivalent atoms, fractional coordinates:
Ta 0.000 0.000 0.000 [1 per cell]
Al 0.500 0.500 0.241 [2 per cell]
Ag 0.000 0.000 0.500 [1 per cell]

Computed properties:
- D(E_F): 2.3 states/eV/f.u.
- Formation energy: -32 meV per atom
- Calculated total energy: -5.5794 eV per atom
- Magnetization: 0.00 Bohr magnetons per cell
- Calculated volume: 16.84 Å³ per atom

***

Record 6
This record from the Alexandria database describes a relaxed CdBi2Se2 crystal. The functional is PBE.

abc: 8.610 8.610 4.012
angles: 90.00 90.00 90.00
Space group P4/mbm (No. 127)
Inequivalent atoms, fractional coordinates:
Cd 0.000 0.000 0.000 [2 per cell]
Bi 0.194 0.306 0.000 [4 per cell]
Se 0.145 0.645 0.500 [4 per cell]

Computed properties:
- Energy relative to the elements, uncorrected: -0.078 eV per atom
- D(E_F): 1.6 states/eV/f.u.
- Calculated total energy: -3.2074 eV per atom
- Magnetization: 0.00 Bohr magnetons per cell
- Calculated volume: 29.74 Å³ per atom

***

Record 7
This record from the Alexandria database describes a relaxed ReWS3 crystal. The functional is PBE.

abc: 4.694 4.694 4.694
angles: 90.00 90.00 90.00
Space group Pm-3m (No. 221)
Inequivalent atoms, fractional coordinates:
Re 0.000 0.000 0.000 [1 per cell]
W 0.500 0.500 0.500 [1 per cell]
S 0.000 0.500 0.500 [3 per cell]

Computed properties:
- Energy relative to the elements, uncorrected: 1.092 eV per atom
- D(E_F): 1.7 states/eV/f.u.
- Calculated total energy: -6.4650 eV per atom
- Magnetization: 5.48 Bohr magnetons per cell
- Calculated volume: 20.68 Å³ per atom

***

Record 8
This record from the Alexandria database describes a relaxed Rb2YTaC crystal. The functional is PBE.

abc: 6.344 6.344 4.150
angles: 90.00 90.00 90.00
Space group P4/mmm (No. 123)
Inequivalent atoms, fractional coordinates:
Rb 0.000 0.500 0.000 [2 per cell]
Y 0.000 0.000 0.500 [1 per cell]
Ta 0.500 0.500 0.500 [1 per cell]
C 0.500 0.500 0.000 [1 per cell]

Computed properties:
- D(E_F): 6.2 states/eV/f.u.
- Formation energy: 1343 meV per atom
- Calculated total energy: -4.5526 eV per atom
- Magnetization: 0.42 Bohr magnetons per cell
- Calculated volume: 33.41 Å³ per atom